BeCrRu: optimized geometry, PBE.

## Properties
* formation energy: 0.392 eV/atom
* DOS(E_F): 1.257 states/eV per atom
* total energy: -7.1499 eV/atom

Lattice parameters (Å, degrees): 3.788 3.788 3.788 60.00 60.00 60.00
Positions (direct):
Be: 0.000 0.000 0.000
Cr: 0.250 0.250 0.250
Ru: 0.750 0.750 0.750

Nb3Te8I7O: optimized geometry, PBE.

## Properties
* total energy: -4.2678 eV/atom

Lattice parameters (Å, degrees): 9.225 16.857 20.539 90.00 102.32 90.00
Positions (direct):
Nb: 0.180 0.150 0.121
Nb: 0.180 0.350 0.621
Nb: 0.197 0.126 0.673
Nb: 0.197 0.374 0.173
Nb: 0.267 0.203 0.549
Nb: 0.267 0.297 0.049
Nb: 0.733 0.703 0.951
Nb: 0.733 0.797 0.451
Nb: 0.803 0.626 0.827
Nb: 0.803 0.874 0.327
Nb: 0.820 0.650 0.379
Nb: 0.820 0.850 0.879
Te: 0.061 0.140 0.245
Te: 0.061 0.360 0.745
Te: 0.071 0.197 0.782
Te: 0.071 0.303 0.282
Te: 0.226 0.139 0.991
Te: 0.226 0.361 0.491
Te: 0.251 0.033 0.567
Te: 0.251 0.467 0.067
Te: 0.370 0.141 0.254
Te: 0.370 0.359 0.754
Te: 0.381 0.196 0.792
Te: 0.381 0.304 0.292
Te: 0.468 0.166 0.091
Te: 0.468 0.334 0.591
Te: 0.485 0.113 0.642
Te: 0.485 0.387 0.142
Te: 0.515 0.613 0.858
Te: 0.515 0.887 0.358
Te: 0.532 0.666 0.409
Te: 0.532 0.834 0.909
Te: 0.619 0.696 0.708
Te: 0.619 0.804 0.208
Te: 0.630 0.641 0.246
Te: 0.630 0.859 0.746
Te: 0.749 0.533 0.933
Te: 0.749 0.967 0.433
Te: 0.774 0.639 0.509
Te: 0.774 0.861 0.009
Te: 0.929 0.697 0.718
Te: 0.929 0.803 0.218
Te: 0.939 0.640 0.255
Te: 0.939 0.860 0.755
I: 0.002 0.677 0.040
I: 0.002 0.823 0.540
I: 0.092 0.572 0.872
I: 0.092 0.928 0.372
I: 0.115 0.629 0.442
I: 0.115 0.871 0.942
I: 0.225 0.514 0.658
I: 0.225 0.986 0.158
I: 0.265 0.009 0.778
I: 0.265 0.491 0.278
I: 0.305 0.736 0.253
I: 0.305 0.764 0.753
I: 0.446 0.169 0.456
I: 0.446 0.331 0.956
I: 0.554 0.669 0.044
I: 0.554 0.831 0.544
I: 0.695 0.236 0.247
I: 0.695 0.264 0.747
I: 0.735 0.509 0.722
I: 0.735 0.991 0.222
I: 0.775 0.014 0.842
I: 0.775 0.486 0.342
I: 0.885 0.129 0.058
I: 0.885 0.371 0.558
I: 0.908 0.072 0.628
I: 0.908 0.428 0.128
I: 0.998 0.177 0.460
I: 0.998 0.323 0.960
O: 0.174 0.233 0.634
O: 0.174 0.267 0.134
O: 0.826 0.733 0.866
O: 0.826 0.767 0.366

Ce4GaTc2: optimized geometry, PBE.

## Properties
* formation energy: -0.144 eV/atom
* DOS(E_F): 1.504 states/eV per atom
* total energy: -6.9292 eV/atom

Lattice parameters (Å, degrees): 6.846 7.522 7.809 109.76 102.61 109.53
Positions (direct):
Ce: 0.000 0.000 0.000
Ce: 0.026 0.666 0.570
Ce: 0.316 0.036 0.437
Ce: 0.373 0.590 0.298
Ce: 0.434 0.542 0.816
Ce: 0.631 0.245 0.174
Ce: 0.859 0.100 0.541
Ce: 0.928 0.437 0.897
Ga: 0.539 0.956 0.758
Ga: 0.818 0.714 0.207
Tc: 0.132 0.332 0.364
Tc: 0.239 0.122 0.838
Tc: 0.340 0.816 0.999
Tc: 0.595 0.394 0.531

MgGeTe2: optimized geometry, PBE.

## Properties
* DOS(E_F): 0.000 states/eV per atom
* total energy: -3.1365 eV/atom

Lattice parameters (Å, degrees): 8.658 8.658 8.658 30.49 30.49 30.49
Positions (direct):
Mg: 0.000 0.000 0.000
Ge: 0.500 0.500 0.500
Te: 0.106 0.106 0.106
Te: 0.894 0.894 0.894

Pm2HoHfSb4: optimized geometry, PBE.

## Properties
* DOS(E_F): 0.178 states/eV per atom
* total energy: -6.0331 eV/atom

Lattice parameters (Å, degrees): 7.538 4.353 7.545 90.00 109.31 90.00
Positions (direct):
Pm: 0.000 0.000 0.000
Pm: 0.500 0.500 0.000
Ho: 0.000 0.500 0.500
Hf: 0.500 0.000 0.500
Sb: 0.253 0.000 0.735
Sb: 0.265 0.500 0.270
Sb: 0.735 0.500 0.730
Sb: 0.747 0.000 0.265

InSF: optimized geometry, PBE.

## Properties
* DOS(E_F): 0.000 states/eV per atom
* total energy: -4.3418 eV/atom

Lattice parameters (Å, degrees): 9.757 3.843 6.329 90.00 90.00 90.00
Positions (direct):
In: 0.151 0.250 0.120
In: 0.349 0.750 0.620
In: 0.651 0.250 0.380
In: 0.849 0.750 0.880
S: 0.146 0.750 0.381
S: 0.354 0.250 0.881
S: 0.646 0.750 0.119
S: 0.854 0.250 0.619
F: 0.073 0.750 0.911
F: 0.427 0.250 0.411
F: 0.573 0.750 0.589
F: 0.927 0.250 0.089